# K2TiBe2

An optimized crystal structure of K2TiBe2 (PBE, Alexandria via LeMat-Bulk).

The structure in POSCAR format:
```
K2TiBe2
1.0
6.541 0.000 0.000
0.000 6.541 0.000
0.000 0.000 5.876
K Ti Be
4 2 4
Direct
0.182 0.318 0.000 K
0.318 0.818 0.000 K
0.682 0.182 0.000 K
0.818 0.682 0.000 K
0.000 0.000 0.500 Ti
0.500 0.500 0.500 Ti
0.116 0.616 0.500 Be
0.384 0.116 0.500 Be
0.616 0.884 0.500 Be
0.884 0.384 0.500 Be
```

Properties
ΔH_f (0 K) ... 5.13 eV per formula unit
Energy relative to the lowest polymorph listed for this composition ... 0 meV/atom
V ... 251 Å³/cell
N(E_F) ... 6.6 states/eV per cell